PrNd2SmEr4 PBE relaxed; E_form = 0.409 eV per atom; total magnetization = 1.397 μB/cell; density of states at the Fermi level = 38.99 states/eV/cell
1.0
-3.4032 5.9528 6.6296
3.4032 -5.9528 6.6296
3.4032 5.9528 -6.6296
Pr Nd Sm Er
2 4 2 8
Direct
0.0000 0.0000 0.0000 Pr
0.5000 0.0000 0.5000 Pr
0.0000 0.5000 0.5000 Nd
0.5000 0.0000 0.0000 Nd
0.5000 0.5000 0.0000 Nd
0.5000 0.5000 0.5000 Nd
0.0000 0.0000 0.5000 Sm
0.0000 0.5000 0.0000 Sm
0.2485 0.7498 0.4987 Er
0.2487 0.2490 0.5003 Er
0.2488 0.2502 0.9987 Er
0.2487 0.7483 0.9997 Er
0.7513 0.2517 0.0003 Er
0.7512 0.7498 0.0013 Er
0.7513 0.7510 0.4997 Er
0.7515 0.2502 0.5013 Er